Record 1
Ac4SbTe2Se after structural relaxation, computed with PBE-GGA.

Calculated values
calculated total energy = -42.6 eV per cell
energy relative to the elements, uncorrected = -12.3 eV/f.u.

CIF file:
```
data_Ac4SbTe2Se
_chemical_formula_sum 'Ac4 Sb1 Te2 Se1'
_space_group_name_H-M_alt 'P 1 2/m 1'
_space_group_IT_number 10
_cell_length_a 8.078
_cell_length_b 4.672
_cell_length_c 8.186
_cell_angle_alpha 90.00
_cell_angle_beta 109.21
_cell_angle_gamma 90.00
loop_
_space_group_symop_operation_xyz
'x,y,z'
'-x,-y,-z'
'-x,y,-z'
'x,-y,z'
loop_
_atom_site_label
_atom_site_type_symbol
_atom_site_fract_x
_atom_site_fract_y
_atom_site_fract_z
Ac1 Ac 0.236 0.000 0.231
Ac2 Ac 0.246 0.500 0.764
Sb1 Sb 0.500 0.000 0.000
Te1 Te 0.000 0.000 0.500
Te2 Te 0.500 0.500 0.500
Se1 Se 0.000 0.500 0.000
```

---

Record 2
Sc2AlAg after structural relaxation, computed with PBE-GGA.

Calculated values
calculated total energy = -59.4 eV per cell
energy relative to the elements = -0.5 eV per formula unit

CIF file:
```
data_Sc2AlAg
_chemical_formula_sum 'Sc6 Al3 Ag3'
_space_group_name_H-M_alt 'R -3 m'
_space_group_IT_number 166
_space_group_name_Hall '-R 3 2"'
_cell_length_a 3.2534
_cell_length_b 3.2534
_cell_length_c 27.4608
_cell_angle_alpha 90.00
_cell_angle_beta 90.00
_cell_angle_gamma 120.00
loop_
_atom_site_label
_atom_site_type_symbol
_atom_site_fract_x
_atom_site_fract_y
_atom_site_fract_z
Sc1 Sc 0.0000 0.0000 0.2480
Al1 Al 0.0000 0.0000 0.5000
Ag1 Ag 0.0000 0.0000 0.0000
```